Run i
A relaxed structure of TmHfSbC. Source: the Open Quantum Materials Database, functional PBE.

Lattice parameters (Å, degrees): 3.481 3.481 14.463 90.00 90.00 120.00
Fractional coordinates of all 8 atoms:
1 Tm 0.000 0.000 0.170
2 Tm 0.000 0.000 0.830
3 Hf 0.667 0.333 0.344
4 Hf 0.667 0.333 0.656
5 Sb 0.000 0.000 0.500
6 Sb 0.667 0.333 0.000
7 C 0.333 0.667 0.266
8 C 0.333 0.667 0.734

***

Run ii
A relaxed structure of TmHfSbC. Source: the Open Quantum Materials Database, functional PBE.

Lattice parameters (Å, degrees): 3.495 3.495 14.448 90.00 90.00 120.00
Fractional coordinates of all 8 atoms:
1 Tm 0.333 0.667 0.409
2 Tm 0.667 0.333 0.591
3 Hf 0.333 0.667 0.081
4 Hf 0.667 0.333 0.919
5 Sb 0.333 0.667 0.762
6 Sb 0.667 0.333 0.238
7 C 0.000 0.000 0.000
8 C 0.000 0.000 0.500

***

Which of them is most stable? Easy: run i.

***

Run i
A relaxed structure of HfScSnC. Source: the Open Quantum Materials Database, functional PBE.

Lattice parameters (Å, degrees): 3.356 3.356 14.676 90.00 90.00 120.00
Fractional coordinates of all 8 atoms:
1 Hf 0.000 0.000 0.165
2 Hf 0.000 0.000 0.835
3 Sc 0.667 0.333 0.331
4 Sc 0.667 0.333 0.669
5 Sn 0.000 0.000 0.500
6 Sn 0.667 0.333 0.000
7 C 0.333 0.667 0.244
8 C 0.333 0.667 0.756

***

Run ii
A relaxed structure of HfScSnC. Source: the Open Quantum Materials Database, functional PBE.

Lattice parameters (Å, degrees): 3.362 3.362 14.651 90.00 90.00 120.00
Fractional coordinates of all 8 atoms:
1 Hf 0.333 0.667 0.417
2 Hf 0.667 0.333 0.583
3 Sc 0.333 0.667 0.082
4 Sc 0.667 0.333 0.918
5 Sn 0.333 0.667 0.748
6 Sn 0.667 0.333 0.252
7 C 0.000 0.000 0.000
8 C 0.000 0.000 0.500

***

Which of them is most stable? Easy: run i.

***

Run i
A relaxed structure of HfScTeC. Source: the Open Quantum Materials Database, functional PBE.

Lattice parameters (Å, degrees): 3.532 3.532 13.261 90.00 90.00 120.00
Fractional coordinates of all 8 atoms:
1 Hf 0.333 0.667 0.000
2 Hf 0.667 0.333 0.500
3 Sc 0.333 0.667 0.323
4 Sc 0.667 0.333 0.823
5 Te 0.333 0.667 0.660
6 Te 0.667 0.333 0.160
7 C 0.000 0.000 0.417
8 C 0.000 0.000 0.917

***

Run ii
A relaxed structure of HfScTeC. Source: the Open Quantum Materials Database, functional PBE.

Lattice parameters (Å, degrees): 3.520 3.520 13.327 90.00 90.00 120.00
Fractional coordinates of all 8 atoms:
1 Hf 0.000 0.000 0.162
2 Hf 0.000 0.000 0.838
3 Sc 0.333 0.667 0.339
4 Sc 0.333 0.667 0.661
5 Te 0.000 0.000 0.500
6 Te 0.333 0.667 0.000
7 C 0.667 0.333 0.245
8 C 0.667 0.333 0.755

***

Which of them is most stable? Easy: run i.

***

Run i
A relaxed structure of TmHfTlC. Source: the Open Quantum Materials Database, functional PBE.

Lattice parameters (Å, degrees): 3.439 3.439 15.469 90.00 90.00 120.00
Fractional coordinates of all 8 atoms:
1 Tm 0.333 0.667 0.413
2 Tm 0.667 0.333 0.587
3 Hf 0.333 0.667 0.077
4 Hf 0.667 0.333 0.923
5 Tl 0.333 0.667 0.759
6 Tl 0.667 0.333 0.241
7 C 0.000 0.000 0.000
8 C 0.000 0.000 0.500

***

Run ii
A relaxed structure of TmHfTlC. Source: the Open Quantum Materials Database, functional PBE.

Lattice parameters (Å, degrees): 3.430 3.430 15.446 90.00 90.00 120.00
Fractional coordinates of all 8 atoms:
1 Tm 0.000 0.000 0.172
2 Tm 0.000 0.000 0.828
3 Hf 0.667 0.333 0.338
4 Hf 0.667 0.333 0.662
5 Tl 0.000 0.000 0.500
6 Tl 0.667 0.333 0.000
7 C 0.333 0.667 0.266
8 C 0.333 0.667 0.734

***

Which of them is most stable? Easy: run ii.

***

Run i
A relaxed structure of HgC. Source: the Open Quantum Materials Database, functional PBE.

Lattice parameters (Å, degrees): 3.466 3.466 3.466 60.00 60.00 60.00
Fractional coordinates of all 2 atoms:
1 Hg 0.000 0.000 0.000
2 C 0.500 0.500 0.500

***

Run ii
A relaxed structure of HgC. Source: the Open Quantum Materials Database, functional PBE.

Lattice parameters (Å, degrees): 6.094 6.094 2.642 90.00 90.00 120.00
Fractional coordinates of all 4 atoms:
1 Hg 0.333 0.667 0.250
2 Hg 0.667 0.333 0.750
3 C 0.000 0.000 0.000
4 C 0.000 0.000 0.500

***

Run iii
A relaxed structure of HgC. Source: the Open Quantum Materials Database, functional PBE.

Lattice parameters (Å, degrees): 3.662 3.662 3.662 60.00 60.00 60.00
Fractional coordinates of all 2 atoms:
1 Hg 0.000 0.000 0.000
2 C 0.250 0.250 0.250

***

Which of them is most stable? Easy: run ii.

***

Run i
A relaxed structure of Sc3HgC. Source: the Open Quantum Materials Database, functional PBE.

Lattice parameters (Å, degrees): 4.536 4.536 4.536 90.00 90.00 90.00
Fractional coordinates of all 5 atoms:
1 Sc 0.000 0.000 0.500
2 Sc 0.000 0.500 0.000
3 Sc 0.500 0.000 0.000
4 Hg 0.500 0.500 0.500
5 C 0.000 0.000 0.000

***

Run ii
A relaxed structure of Sc3HgC. Source: the Open Quantum Materials Database, functional PBE.

Lattice parameters (Å, degrees): 6.422 6.422 6.422 120.37 120.37 89.35
Fractional coordinates of all 10 atoms:
1 Sc 0.217 0.717 0.933
2 Sc 0.250 0.250 0.000
3 Sc 0.283 0.217 0.500
4 Sc 0.717 0.783 0.500
5 Sc 0.750 0.750 0.000
6 Sc 0.783 0.283 0.067
7 Hg 0.250 0.750 0.500
8 Hg 0.750 0.250 0.500
9 C 0.000 0.000 0.000
10 C 0.500 0.500 0.000

***

Which of them is most stable? Easy: run ii.

***

Run i
A relaxed structure of ZrScHgC. Source: the Open Quantum Materials Database, functional PBE.

Lattice parameters (Å, degrees): 3.352 3.352 14.987 90.00 90.00 120.00
Fractional coordinates of all 8 atoms:
1 Zr 0.333 0.667 0.000
2 Zr 0.667 0.333 0.500
3 Sc 0.333 0.667 0.333
4 Sc 0.667 0.333 0.833
5 Hg 0.333 0.667 0.667
6 Hg 0.667 0.333 0.167
7 C 0.000 0.000 0.420
8 C 0.000 0.000 0.920

***

Run ii
A relaxed structure of ZrScHgC. Source: the Open Quantum Materials Database, functional PBE.

Lattice parameters (Å, degrees): 3.352 3.352 15.008 90.00 90.00 120.00
Fractional coordinates of all 8 atoms:
1 Zr 0.333 0.667 0.084
2 Zr 0.667 0.333 0.916
3 Sc 0.333 0.667 0.418
4 Sc 0.667 0.333 0.582
5 Hg 0.333 0.667 0.750
6 Hg 0.667 0.333 0.250
7 C 0.000 0.000 0.000
8 C 0.000 0.000 0.500

***

Which of them is most stable? Easy: run ii.

***

Run i
A relaxed structure of Pr2Ho2CI5. Source: the Open Quantum Materials Database, functional PBE.

Lattice parameters (Å, degrees): 9.740 9.740 8.774 102.90 102.90 23.72
Fractional coordinates of all 10 atoms:
1 Pr 0.137 0.137 0.069
2 Pr 0.863 0.863 0.931
3 Ho 0.500 0.500 0.185
4 Ho 0.500 0.500 0.815
5 C 0.000 0.000 0.000
6 I 0.000 0.000 0.500
7 I 0.334 0.334 0.193
8 I 0.339 0.339 0.646
9 I 0.661 0.661 0.354
10 I 0.666 0.666 0.807

***

Run ii
A relaxed structure of Pr2Ho2CI5. Source: the Open Quantum Materials Database, functional PBE.

Lattice parameters (Å, degrees): 9.899 9.899 8.902 102.22 102.22 23.64
Fractional coordinates of all 10 atoms:
1 Pr 0.001 0.001 0.304
2 Pr 0.999 0.999 0.696
3 Ho 0.373 0.373 0.437
4 Ho 0.627 0.627 0.563
5 C 0.500 0.500 0.500
6 I 0.167 0.167 0.826
7 I 0.172 0.172 0.341
8 I 0.500 0.500 0.000
9 I 0.828 0.828 0.659
10 I 0.833 0.833 0.174

***

Which of them is most stable? Easy: run ii.